# 1
Re2AgSnS | PBE | optimized geometry

## Properties
calculated volume	18.82	Å³/atom
formation energy from raw total energies	1.034	eV/atom

Cell lengths 4.4595, 4.4595, 4.7313 Å; angles 90.00, 90.00, 90.00 degrees
With the nearest neighbours (Å) after each atom.
Sites, in units of the cell vectors:
Re 0.0000 0.5000 0.0000  2 S 2.23
Re 0.5000 0.0000 0.0000  2 S 2.23
Ag 0.0000 0.0000 0.5000  2 S 2.37
Sn 0.5000 0.5000 0.5000  4 Ag 3.15, 8 Re 3.25
S 0.0000 0.0000 0.0000  4 Re 2.23, 2 Ag 2.37

# 2
ReTcAgS2 | PBE | optimized geometry

## Properties
calculated volume	21.50	Å³/atom
formation energy from raw total energies	1.088	eV/atom

Cell lengths 4.4802, 4.4802, 5.3547 Å; angles 90.00, 90.00, 90.00 degrees
With the nearest neighbours (Å) after each atom.
Sites, in units of the cell vectors:
Re 0.0000 0.0000 0.0000  4 S 2.24
Tc 0.5000 0.5000 0.5000  4 Ag 3.17, 8 S 3.49
Ag 0.0000 0.0000 0.5000  2 Re 2.68
S 0.0000 0.5000 0.0000  2 Re 2.24
S 0.5000 0.0000 0.0000  2 Re 2.24

# 3
ReAg2Sb | PBE | optimized geometry

## Properties
calculated volume	17.97	Å³/atom
formation energy from raw total energies	0.649	eV/atom

Cell lengths 5.0675, 5.0675, 5.0675 Å; angles 131.31, 131.31, 71.32 degrees
With the nearest neighbours (Å) after each atom.
Sites, in units of the cell vectors:
Re 0.0000 0.0000 0.0000  4 Sb 2.93, 8 Ag 2.93-2.95
Ag 0.2500 0.7500 0.5000  4 Ag 2.93, 4 Re 2.93, 4 Sb 2.95
Ag 0.5000 0.5000 0.0000  4 Sb 2.93, 4 Ag 2.93, 4 Re 2.95
Sb 0.7500 0.2500 0.5000  8 Ag 2.93-2.95, 4 Re 2.93

# 4
ReAg2Sb | PBE | optimized geometry

## Properties
calculated volume	18.61	Å³/atom
formation energy from raw total energies	0.716	eV/atom

Cell lengths 5.5688, 5.5688, 5.5688 Å; angles 138.70, 138.70, 59.83 degrees
With the nearest neighbours (Å) after each atom.
Sites, in units of the cell vectors:
Re 0.0000 0.0000 0.0000  4 Sb 2.78
Ag 0.2500 0.7500 0.5000  4 Ag 2.78
Ag 0.7500 0.2500 0.5000  4 Ag 2.78
Sb 0.5000 0.5000 0.0000  4 Re 2.78

# 5
ReAg2Sb | PBE | optimized geometry

## Properties
calculated volume	18.44	Å³/atom
formation energy from raw total energies	0.594	eV/atom

Cell lengths 5.0025, 5.0025, 5.4194 Å; angles 97.56, 97.56, 33.31 degrees
With the nearest neighbours (Å) after each atom.
Sites, in units of the cell vectors:
Re 0.0000 0.0000 0.0000  3 Sb 2.78-2.85, 2 Re 2.87, 6 Ag 2.93-3.11
Ag 0.4847 0.4847 0.4878  5 Ag 2.78-2.87, 1 Sb 2.98, 4 Re 3.03-3.11
Ag 0.7360 0.7360 0.2851  5 Ag 2.78-2.87, 2 Re 2.93, 2 Sb 3.01
Sb 0.2523 0.2523 0.8015  3 Re 2.78-2.85, 2 Sb 2.87, 3 Ag 2.98-3.01

# 6
ReAg2Sb | PBE | optimized geometry

## Properties
calculated volume	18.74	Å³/atom
formation energy from raw total energies	0.691	eV/atom

Cell lengths 9.9462, 9.9462, 9.9462 Å; angles 17.19, 17.19, 17.19 degrees
With the nearest neighbours (Å) after each atom.
Sites, in units of the cell vectors:
Re 0.0000 0.0000 0.0000  6 Ag 2.86, 6 Re 2.97
Ag 0.2556 0.2556 0.2556  3 Re 2.86, 6 Ag 2.97, 3 Sb 3.13
Ag 0.7444 0.7444 0.7444  3 Re 2.86, 6 Ag 2.97, 3 Sb 3.13
Sb 0.5000 0.5000 0.5000  6 Sb 2.97, 6 Ag 3.13

# 7
Re3AgSb | PBE | optimized geometry

## Properties
calculated volume	22.61	Å³/atom
formation energy from raw total energies	2.659	eV/atom
distance to the lowest polymorph of the same formula	0	meV per atom

Cell lengths 4.8355, 4.8355, 4.8355 Å; angles 90.00, 90.00, 90.00 degrees
With the nearest neighbours (Å) after each atom.
Sites, in units of the cell vectors:
Re 0.0000 0.0000 0.5000  2 Sb 2.42
Re 0.0000 0.5000 0.0000  2 Sb 2.42
Re 0.5000 0.0000 0.0000  2 Sb 2.42
Ag 0.5000 0.5000 0.5000  12 Re 3.42
Sb 0.0000 0.0000 0.0000  6 Re 2.42

# 8
ReAg2Sb | PBE | optimized geometry

## Properties
calculated volume	19.14	Å³/atom
formation energy from raw total energies	0.656	eV/atom

Cell lengths 2.8841, 2.8841, 9.2054 Å; angles 90.00, 90.00, 90.00 degrees
With the nearest neighbours (Å) after each atom.
Sites, in units of the cell vectors:
Re 0.0000 0.0000 0.0000  4 Re 2.88, 8 Ag 2.90
Ag 0.5000 0.5000 0.2235  4 Ag 2.88, 4 Re 2.90
Ag 0.5000 0.5000 0.7765  4 Ag 2.88, 4 Re 2.90
Sb 0.0000 0.0000 0.5000  4 Sb 2.88

# 9
ReAg2Sb2 | PBE | optimized geometry

## Properties
calculated volume	21.87	Å³/atom
formation energy from raw total energies	0.613	eV/atom
distance to the lowest polymorph of the same formula	48	meV per atom

Cell lengths 8.9797, 8.9797, 8.9797 Å; angles 157.12, 157.12, 32.58 degrees
With the nearest neighbours (Å) after each atom.
Sites, in units of the cell vectors:
Re 0.0000 0.0000 0.0000  8 Sb 2.96
Ag 0.2500 0.7500 0.5000  4 Ag 2.52
Ag 0.7500 0.2500 0.5000  4 Ag 2.52
Sb 0.4098 0.4098 0.0000  4 Re 2.96, 1 Sb 3.11, 4 Ag 3.28
Sb 0.5903 0.5903 0.0000  4 Re 2.96, 1 Sb 3.11, 4 Ag 3.28

# 10
ReAg2Sb | PBE | optimized geometry

## Properties
calculated volume	17.99	Å³/atom
formation energy from raw total energies	0.653	eV/atom

Cell lengths 3.9895, 3.9895, 4.5225 Å; angles 90.00, 90.00, 90.00 degrees
With the nearest neighbours (Å) after each atom.
Sites, in units of the cell vectors:
Re 0.0000 0.0000 0.0000  4 Sb 2.82, 8 Ag 3.02
Ag 0.0000 0.5000 0.5000  4 Ag 2.82, 4 Re 3.02, 4 Sb 3.02
Ag 0.5000 0.0000 0.5000  4 Ag 2.82, 4 Re 3.02, 4 Sb 3.02
Sb 0.5000 0.5000 0.0000  4 Re 2.82, 8 Ag 3.02

# 11
ReAg3Sb | PBE | optimized geometry

## Properties
calculated volume	28.25	Å³/atom
formation energy from raw total energies	1.575	eV/atom

Cell lengths 5.2078, 5.2078, 5.2078 Å; angles 90.00, 90.00, 90.00 degrees
With the nearest neighbours (Å) after each atom.
Sites, in units of the cell vectors:
Re 0.0000 0.0000 0.0000  12 Ag 3.68
Ag 0.0000 0.5000 0.5000  2 Sb 2.60
Ag 0.5000 0.0000 0.5000  2 Sb 2.60
Ag 0.5000 0.5000 0.0000  2 Sb 2.60
Sb 0.5000 0.5000 0.5000  6 Ag 2.60

# 12
ReAg2Sb | PBE | optimized geometry

## Properties
calculated volume	18.14	Å³/atom
formation energy from raw total energies	0.593	eV/atom

Cell lengths 3.1754, 4.5325, 5.0421 Å; angles 90.00, 90.00, 90.00 degrees
With the nearest neighbours (Å) after each atom.
Sites, in units of the cell vectors:
Re 0.0000 0.0000 0.0000  4 Sb 2.77, 4 Ag 2.98
Ag 0.0000 0.5000 0.5000  4 Ag 2.77, 4 Sb 2.98
Ag 0.5000 0.0000 0.5000  4 Ag 2.77, 4 Re 2.98
Sb 0.5000 0.5000 0.0000  4 Re 2.77, 4 Ag 2.98

# 13
ReAg2Sb | PBE | optimized geometry

## Properties
calculated volume	18.35	Å³/atom
formation energy from raw total energies	0.570	eV/atom

Cell lengths 5.8830, 5.8830, 5.8830 Å; angles 149.56, 134.23, 55.96 degrees
With the nearest neighbours (Å) after each atom.
Sites, in units of the cell vectors:
Re 0.0000 0.0000 0.0000  4 Sb 2.76, 4 Ag 2.92, 2 Re 3.09
Ag 0.2388 0.7388 0.5000  6 Ag 2.77-3.09, 2 Re 2.92
Ag 0.7612 0.2612 0.5000  6 Ag 2.77-3.09, 2 Re 2.92
Sb 0.5000 0.5000 0.0000  4 Re 2.76, 2 Sb 3.09

# 14
ReAg2Sb | PBE | optimized geometry

## Properties
calculated volume	19.45	Å³/atom
formation energy from raw total energies	0.612	eV/atom

Cell lengths 2.9071, 2.9071, 10.0385 Å; angles 90.00, 90.00, 113.52 degrees
With the nearest neighbours (Å) after each atom.
Sites, in units of the cell vectors:
Re 0.0000 0.0000 0.0000  2 Sb 2.77, 2 Ag 2.85, 4 Re 2.91
Ag 0.0000 0.0000 0.4706  8 Ag 2.85-3.19
Ag 0.5000 0.5000 0.2353  2 Re 2.85, 8 Ag 2.85-3.19
Sb 0.5000 0.5000 0.7741  2 Re 2.77, 4 Sb 2.91

# 15
ReAgSb3 | PBE | optimized geometry

## Properties
calculated volume	29.10	Å³/atom
formation energy from raw total energies	1.626	eV/atom
distance to the lowest polymorph of the same formula	873	meV per atom

Cell lengths 5.2593, 5.2593, 5.2593 Å; angles 90.00, 90.00, 90.00 degrees
With the nearest neighbours (Å) after each atom.
Sites, in units of the cell vectors:
Re 0.0000 0.0000 0.0000  12 Sb 3.72
Ag 0.5000 0.5000 0.5000  6 Sb 2.63
Sb 0.0000 0.5000 0.5000  2 Ag 2.63
Sb 0.5000 0.0000 0.5000  2 Ag 2.63
Sb 0.5000 0.5000 0.0000  2 Ag 2.63

# 16
Re4AgSb | PBE | optimized geometry

## Properties
calculated volume	17.54	Å³/atom
formation energy from raw total energies	0.795	eV/atom

Cell lengths 5.2995, 5.2995, 5.2995 Å; angles 60.00, 60.00, 60.00 degrees
With the nearest neighbours (Å) after each atom.
Sites, in units of the cell vectors:
Re 0.3760 0.3760 0.3760  6 Re 2.63-2.67
Re 0.3760 0.3760 0.8719  6 Re 2.63-2.67
Re 0.3760 0.8719 0.3760  6 Re 2.63-2.67
Re 0.8719 0.3760 0.3760  6 Re 2.63-2.67
Ag 0.7500 0.7500 0.7500  12 Re 3.10, 4 Sb 3.25
Sb 0.0000 0.0000 0.0000  12 Re 3.11, 4 Ag 3.25

# 17
ReAgSb3 | PBE | optimized geometry

## Properties
calculated volume	28.05	Å³/atom
formation energy from raw total energies	0.752	eV/atom
distance to the lowest polymorph of the same formula	0	meV per atom

Cell lengths 5.1959, 5.1959, 5.1959 Å; angles 90.00, 90.00, 90.00 degrees
With the nearest neighbours (Å) after each atom.
Sites, in units of the cell vectors:
Re 0.0000 0.0000 0.0000  6 Sb 2.60
Ag 0.5000 0.5000 0.5000  12 Sb 3.67
Sb 0.0000 0.0000 0.5000  2 Re 2.60
Sb 0.0000 0.5000 0.0000  2 Re 2.60
Sb 0.5000 0.0000 0.0000  2 Re 2.60

# 18
ReAg2Sb | PBE | optimized geometry

## Properties
calculated volume	18.36	Å³/atom
formation energy from raw total energies	0.488	eV/atom

Cell lengths 3.4161, 3.4161, 6.2940 Å; angles 90.00, 90.00, 90.00 degrees
With the nearest neighbours (Å) after each atom.
Sites, in units of the cell vectors:
Re 0.0000 0.0000 0.0000  4 Sb 2.73, 4 Ag 2.95
Ag 0.0000 0.0000 0.5022  4 Ag 2.81, 4 Sb 3.07, 1 Re 3.13
Ag 0.5000 0.5000 0.7311  4 Ag 2.81, 4 Re 2.95, 1 Sb 2.97
Sb 0.5000 0.5000 0.2023  4 Re 2.73, 1 Ag 2.97

# 19
ReAg4Sb | PBE | optimized geometry

## Properties
calculated volume	19.38	Å³/atom
formation energy from raw total energies	0.789	eV/atom

Cell lengths 5.4790, 5.4790, 5.4790 Å; angles 60.00, 60.00, 60.00 degrees
With the nearest neighbours (Å) after each atom.
Sites, in units of the cell vectors:
Re 0.0000 0.0000 0.0000  12 Ag 3.21, 4 Sb 3.36
Ag 0.3745 0.3745 0.3745  6 Ag 2.73-2.75
Ag 0.3745 0.3745 0.8764  6 Ag 2.73-2.75
Ag 0.3745 0.8764 0.3745  6 Ag 2.73-2.75
Ag 0.8764 0.3745 0.3745  6 Ag 2.73-2.75
Sb 0.7500 0.7500 0.7500  12 Ag 3.21, 4 Re 3.36

# 20
ReAg2Sb | PBE | optimized geometry

## Properties
calculated volume	18.89	Å³/atom
formation energy from raw total energies	0.492	eV/atom

Cell lengths 9.3750, 9.3750, 9.3750 Å; angles 18.90, 18.90, 18.90 degrees
With the nearest neighbours (Å) after each atom.
Sites, in units of the cell vectors:
Re 0.0000 0.0000 0.0000  3 Sb 2.72, 3 Ag 2.86
Ag 0.2521 0.2521 0.2521  3 Re 2.86, 9 Ag 2.87-3.08
Ag 0.5038 0.5038 0.5038  9 Ag 2.87-3.08, 3 Sb 3.19
Sb 0.7413 0.7413 0.7413  3 Re 2.72